# PBE with a Hubbard U Li2TeMoO6, optimized geometry
data_Li2TeMoO6
_chemical_formula_sum 'Li8 Te4 Mo4 O24'
_cell_length_a 5.439
_cell_length_b 13.336
_cell_length_c 8.611
_cell_angle_alpha 90.00
_cell_angle_beta 124.95
_cell_angle_gamma 90.00
_symmetry_space_group_name_H-M 'P 1'
_symmetry_Int_Tables_number 1
_symmetry_space_group_name_Hall 'P 1'
loop_
_atom_site_label
_atom_site_fract_x
_atom_site_fract_y
_atom_site_fract_z
Li1 0.037 0.065 0.238
Li2 0.037 0.435 0.738
Li3 0.268 0.145 0.023
Li4 0.268 0.355 0.523
Li5 0.732 0.645 0.477
Li6 0.732 0.855 0.977
Li7 0.963 0.565 0.262
Li8 0.963 0.935 0.762
Te1 0.177 0.710 0.927
Te2 0.177 0.790 0.427
Te3 0.823 0.210 0.573
Te4 0.823 0.290 0.073
Mo1 0.476 0.094 0.755
Mo2 0.476 0.406 0.255
Mo3 0.524 0.594 0.745
Mo4 0.524 0.906 0.245
O1 0.155 0.059 0.758
O2 0.155 0.441 0.258
O3 0.185 0.694 0.703
O4 0.185 0.806 0.203
O5 0.229 0.249 0.197
O6 0.229 0.251 0.697
O7 0.306 0.018 0.162
O8 0.306 0.482 0.662
O9 0.321 0.095 0.509
O10 0.321 0.405 0.009
O11 0.325 0.654 0.460
O12 0.325 0.846 0.960
O13 0.675 0.154 0.040
O14 0.675 0.346 0.540
O15 0.679 0.595 0.991
O16 0.679 0.905 0.491
O17 0.694 0.518 0.338
O18 0.694 0.982 0.838
O19 0.771 0.749 0.303
O20 0.771 0.751 0.803
O21 0.815 0.194 0.797
O22 0.815 0.306 0.297
O23 0.845 0.559 0.742
O24 0.845 0.941 0.242
# * spin magnetization: 0.000 μB/cell
# * density: 4.33 g/cm3
# * symmetry: P2_1/c (14)
# * electronic total energy: -241.255 eV per cell
# * crystal system: monoclinic